(1)
A plane-wave DFT calculation with GGA-PBEsol was carried out for BaCo2As2 after structural relaxation.

Cell: 6.8634 6.8634 6.8634 Å, 147.13 147.13 47.17°
Positions (direct):
Ba (0.0000, 0.0000, 0.0000)
Co (0.2500, 0.7500, 0.5000)
Co (0.7500, 0.2500, 0.5000)
As (0.3478, 0.3478, 0.0000)
As (0.6522, 0.6522, 0.0000)

Output
ΔH_f (0 K) = -3.22 eV per formula unit
Fermi-level density of states = 4.3 states/eV per cell
symmetry = I4/mmm (139)

=====

(2)
A plane-wave DFT calculation with GGA-PBEsol was carried out for Ba2CoAs after structural relaxation.

Cell: 4.6342 4.6342 6.5349 Å, 90.00 90.00 90.00°
Positions (direct):
Ba (0.0000, 0.0000, 0.0000)
Ba (0.5000, 0.5000, 0.5000)
Co (0.0000, 0.0000, 0.5000)
As (0.5000, 0.5000, 0.0000)

Output
ΔH_f (0 K) = 0.61 eV per formula unit
Fermi-level density of states = 7.7 states/eV per cell
symmetry = P4/mmm (123)

=====

(3)
A plane-wave DFT calculation with GGA-PBEsol was carried out for BaCoAs2O7 after structural relaxation.

Cell: 5.4832 7.5007 7.8241 Å, 102.32 93.50 95.67°
Positions (direct):
Ba (0.1816, 0.2774, 0.4274)
Ba (0.8184, 0.7226, 0.5726)
Co (0.1811, 0.1128, 0.8985)
Co (0.8189, 0.8872, 0.1015)
As (0.2979, 0.6854, 0.8952)
As (0.3171, 0.7723, 0.2933)
As (0.6829, 0.2277, 0.7067)
As (0.7021, 0.3146, 0.1048)
O (0.0691, 0.8953, 0.3003)
O (0.1011, 0.8566, 0.9163)
O (0.1791, 0.5107, 0.7332)
O (0.2787, 0.6032, 0.0915)
O (0.3177, 0.6549, 0.4544)
O (0.4033, 0.2245, 0.1073)
O (0.4078, 0.0991, 0.7026)
O (0.5921, 0.9009, 0.2974)
O (0.5967, 0.7755, 0.8927)
O (0.6823, 0.3451, 0.5456)
O (0.7213, 0.3968, 0.9085)
O (0.8209, 0.4893, 0.2668)
O (0.8989, 0.1434, 0.0837)
O (0.9309, 0.1047, 0.6997)

Output
electronic total energy = -6.6787 eV/atom
Fermi-level density of states = 1.3 states/eV per cell
symmetry = P-1 (2)

=====

(4)
A plane-wave DFT calculation with GGA-PBEsol was carried out for BaCo2As2O8 after structural relaxation.

Cell: 4.8167 4.9338 8.4941 Å, 74.52 74.61 61.29°
Positions (direct):
Ba (0.0000, 0.0000, 0.0000)
Co (0.1756, 0.1455, 0.4956)
Co (0.8244, 0.8545, 0.5044)
As (0.4330, 0.4318, 0.7194)
As (0.5670, 0.5682, 0.2806)
O (0.1352, 0.4522, 0.6337)
O (0.2043, 0.8831, 0.3368)
O (0.3502, 0.3608, 0.9283)
O (0.4473, 0.7912, 0.6613)
O (0.5527, 0.2088, 0.3387)
O (0.6498, 0.6392, 0.0717)
O (0.7957, 0.1169, 0.6632)
O (0.8648, 0.5478, 0.3663)

Output
electronic total energy = -6.7915 eV/atom
Fermi-level density of states = 3.8 states/eV per cell
symmetry = P-1 (2)

=====

(5)
A plane-wave DFT calculation with GGA-PBEsol was carried out for BaCoAsSe2 after structural relaxation.

Cell: 5.1030 5.1030 4.3257 Å, 90.00 90.00 90.00°
Positions (direct):
Ba (0.0000, 0.0000, 0.0000)
Co (0.5000, 0.5000, 0.5000)
As (0.5000, 0.5000, 0.0000)
Se (0.0000, 0.5000, 0.5000)
Se (0.5000, 0.0000, 0.5000)

Output
electronic total energy = -5.1832 eV/atom
Fermi-level density of states = 4.6 states/eV per cell
symmetry = P4/mmm (123)

=====

(6)
A plane-wave DFT calculation with GGA-PBEsol was carried out for BaCrAs2 after structural relaxation.

Cell: 6.7539 6.7539 6.7539 Å, 35.46 35.46 35.46°
Positions (direct):
Ba (0.0000, 0.0000, 0.0000)
Cr (0.5000, 0.5000, 0.5000)
As (0.2186, 0.2186, 0.2186)
As (0.7814, 0.7814, 0.7814)

Output
ΔH_f (0 K) = -1.84 eV per formula unit
distance to the lowest polymorph of the same formula = 0.000 eV/atom
Fermi-level density of states = 2.8 states/eV per cell
symmetry = R-3m (166)

=====

(7)
A plane-wave DFT calculation with GGA-PBEsol was carried out for Ba2CrAs after structural relaxation.

Cell: 4.5068 6.5567 6.5567 Å, 42.35 90.00 90.00°
Positions (direct):
Ba (0.0000, 0.0000, 0.0000)
Ba (0.5000, 0.2838, 0.2838)
Cr (0.0000, 0.6890, 0.6890)
As (0.5000, 0.5791, 0.5791)

Output
ΔH_f (0 K) = -0.77 eV per formula unit
Fermi-level density of states = 2.9 states/eV per cell
symmetry = Amm2 (38)

=====

(8)
A plane-wave DFT calculation with GGA-PBEsol was carried out for BaCrAs2 after structural relaxation.

Cell: 4.7335 4.7335 4.2513 Å, 90.00 90.00 92.45°
Positions (direct):
Ba (0.0000, 0.0000, 0.0000)
Cr (0.5000, 0.5000, 0.0000)
As (0.0000, 0.5000, 0.5000)
As (0.5000, 0.0000, 0.5000)

Output
ΔH_f (0 K) = 0.51 eV per formula unit
distance to the lowest polymorph of the same formula = 0.586 eV/atom
Fermi-level density of states = 2.5 states/eV per cell
symmetry = Cmmm (65)